1.
An optimized crystal structure of RhAu, computed with GGA-PBE.

```
16
Lattice="7.9056 0.0000 0.0000 0.0000 7.9056 0.0000 0.0000 0.0000 7.9056" Properties=species:S:1:pos:R:3 pbc="T T T"
Rh 0.9130 0.9130 0.9130
Rh 0.9130 6.9926 6.9926
Rh 3.0398 3.0398 4.8659
Rh 3.0398 4.8659 3.0398
Rh 4.8659 3.0398 3.0398
Rh 4.8659 4.8659 4.8659
Rh 6.9926 0.9130 6.9926
Rh 6.9926 6.9926 0.9130
Au 1.6010 1.6010 6.3047
Au 1.6010 6.3047 1.6010
Au 2.3518 2.3518 2.3518
Au 2.3518 5.5538 5.5538
Au 5.5538 2.3518 5.5538
Au 5.5538 5.5538 2.3518
Au 6.3047 1.6010 1.6010
Au 6.3047 6.3047 6.3047
```

## Properties
Space-group type   No. 217
Crystal system   cubic
Energy of formation   1.09 eV/atom
Total DFT energy (no corrections)   -4.222 eV per atom

2.
An optimized crystal structure of CaRuW2, computed with GGA-PBE.

```
4
Lattice="2.8631 0.0000 0.0000 0.0000 4.2864 0.0000 -1.0402 0.0000 6.0923" Properties=species:S:1:pos:R:3 pbc="T T T"
Ca 0.0000 0.0000 0.0000
Ru 1.8216 2.1432 1.7785
W 0.0491 2.1432 4.1528
W 0.9515 0.0000 2.9682
```

## Properties
Space-group type   No. 6
Crystal system   monoclinic
Energy of formation   0.57 eV/atom
Total DFT energy (no corrections)   -8.731 eV per atom

Please write out number 1 again, unchanged.
An optimized crystal structure of RhAu, computed with GGA-PBE.

```
16
Lattice="7.9056 0.0000 0.0000 0.0000 7.9056 0.0000 0.0000 0.0000 7.9056" Properties=species:S:1:pos:R:3 pbc="T T T"
Rh 0.9130 0.9130 0.9130
Rh 0.9130 6.9926 6.9926
Rh 3.0398 3.0398 4.8659
Rh 3.0398 4.8659 3.0398
Rh 4.8659 3.0398 3.0398
Rh 4.8659 4.8659 4.8659
Rh 6.9926 0.9130 6.9926
Rh 6.9926 6.9926 0.9130
Au 1.6010 1.6010 6.3047
Au 1.6010 6.3047 1.6010
Au 2.3518 2.3518 2.3518
Au 2.3518 5.5538 5.5538
Au 5.5538 2.3518 5.5538
Au 5.5538 5.5538 2.3518
Au 6.3047 1.6010 1.6010
Au 6.3047 6.3047 6.3047
```

## Properties
Space-group type   No. 217
Crystal system   cubic
Energy of formation   1.09 eV/atom
Total DFT energy (no corrections)   -4.222 eV per atom